Computed, not measured: CsNa2ZnPd after structural relaxation at the PBE-GGA level of DFT.

Calculated values
ΔE_f	-0.16	eV per formula unit
M_tot	0.00	μB per atom
calculated total energy	-2.02	eV/atom
SG	No. 123

Cell lengths 5.7333, 5.7333, 5.0440 Å; angles 90.00, 90.00, 90.00 degrees
Positions (direct):
Cs: 0.0000 0.0000 0.0000
Na: 0.0000 0.5000 0.5000
Na: 0.5000 0.0000 0.5000
Zn: 0.5000 0.5000 0.0000
Pd: 0.5000 0.5000 0.5000